Computed, not measured: an optimized crystal structure of LiUAl2Au4 at the PBE level of DFT.

a = 4.4640 Å, b = 4.4640 Å, c = 8.8586 Å
α = 75.41°, β = 75.41°, γ = 60.00°
Site moments in Bohr magnetons follow the coordinates.
Positions (direct):
Au  0.6061  0.6061  0.1817  0.00
Au  0.1313  0.1313  0.6062  0.02
Li  0.5000  0.5000  0.5000  0.00
U  0.0000  0.0000  0.0000  2.29
Au  0.3939  0.3939  0.8183  0.00
Au  0.8687  0.8687  0.3938  0.02
Al  0.7604  0.7604  0.7187  0.01
Al  0.2396  0.2396  0.2813  0.01

---

Computed, not measured: an optimized crystal structure of Li2YAlAu4 at the PBE level of DFT.

a = 4.4889 Å, b = 4.4889 Å, c = 8.6902 Å
α = 75.03°, β = 75.03°, γ = 60.00°
Positions (direct):
Li  0.7580  0.7580  0.7259
Li  0.2420  0.2420  0.2741
Al  0.5000  0.5000  0.5000
Au  0.1303  0.1303  0.6091
Au  0.8697  0.8697  0.3909
Au  0.3952  0.3952  0.8143
Y  0.0000  0.0000  0.0000
Au  0.6048  0.6048  0.1857

---

Computed, not measured: an optimized crystal structure of LiYAl2Au at the PBE level of DFT.

a = 4.8482 Å, b = 4.6991 Å, c = 4.8482 Å
α = 90.00°, β = 90.00°, γ = 90.00°
Positions (direct):
Al  0.0000  0.0000  0.5000
Y  0.5000  0.5000  0.5000
Al  0.5000  0.0000  0.0000
Au  0.0000  0.0000  0.0000
Li  0.0000  0.5000  0.0000

---

What did we get for formation enthalpy at 0 K? Answer: -0.398 -0.632 -0.157 eV per atom, in the order shown.